--- one ---
Co2Cu2I | PBE-GGA | relaxed

Cell: 3.4922 3.4922 7.1540 Å, 75.87 75.87 90.00°
Closest atoms and distances in Å follow each position.
Atoms (fractional coordinates):
I  0.0000  0.0000  0.0000  8 Cu 2.91
Co  0.7500  0.2500  0.5000  4 Co 2.47, 4 Cu 2.52
Co  0.2500  0.7500  0.5000  4 Co 2.47, 4 Cu 2.52
Cu  0.3854  0.3854  0.2292  4 Co 2.52
Cu  0.6146  0.6146  0.7708  4 Co 2.52

Values from the calculation:
As for the spin magnetization: 0.772 μB/atom. The value obtained for the calculated volume is 82 Å³ per cell.



--- two ---
Co2Cu2I | PBE-GGA | relaxed

Cell: 6.7138 6.7138 3.4432 Å, 90.00 90.00 90.00°
Closest atoms and distances in Å follow each position.
Atoms (fractional coordinates):
I  0.0000  0.0000  0.0000  4 Cu 2.61
I  0.5000  0.5000  0.0000  4 Cu 2.61
Co  0.1358  0.6358  0.5000  6 Cu 2.50-2.78, 1 Co 2.58
Co  0.6358  0.8642  0.5000  6 Cu 2.50-2.78, 1 Co 2.58
Co  0.8642  0.3642  0.5000  6 Cu 2.50-2.78, 1 Co 2.58
Co  0.3642  0.1358  0.5000  6 Cu 2.50-2.78, 1 Co 2.58
Cu  0.3653  0.8653  0.0000  6 Co 2.50-2.78, 1 Cu 2.56, 2 I 2.61
Cu  0.8653  0.6347  0.0000  6 Co 2.50-2.78, 1 Cu 2.56, 2 I 2.61
Cu  0.6347  0.1347  0.0000  6 Co 2.50-2.78, 1 Cu 2.56, 2 I 2.61
Cu  0.1347  0.3653  0.0000  6 Co 2.50-2.78, 1 Cu 2.56, 2 I 2.61

Values from the calculation:
As for the spin magnetization: 0.628 μB/atom. The value obtained for the calculated volume is 155 Å³ per cell.



What should be chosen as the most stable of them? Choose one.



--- one ---
CoCuI2N | PBE-GGA | relaxed

Cell: 5.4092 5.4092 3.4572 Å, 90.00 90.00 90.00°
Closest atoms and distances in Å follow each position.
Atoms (fractional coordinates):
I  0.0000  0.5000  0.0000  2 Co 2.70
I  0.5000  0.0000  0.0000  2 Co 2.70
Co  0.0000  0.0000  0.0000  2 N 1.73
Cu  0.5000  0.5000  0.5000  8 I 3.21, 2 Cu 3.46
N  0.0000  0.0000  0.5000  2 Co 1.73

Values from the calculation:
As for the spin magnetization: 0.000 μB/atom. The value obtained for the calculated volume is 101 Å³ per cell.



--- two ---
CoCuI2N | PBE-GGA | relaxed

Cell: 5.5278 5.5278 3.6597 Å, 90.00 90.00 90.00°
Closest atoms and distances in Å follow each position.
Atoms (fractional coordinates):
I  0.0000  0.5000  0.0000  2 Cu 2.76
I  0.5000  0.0000  0.0000  2 Cu 2.76
Co  0.5000  0.5000  0.5000  8 I 3.31, 2 Co 3.66
Cu  0.0000  0.0000  0.0000  2 N 1.83
N  0.0000  0.0000  0.5000  2 Cu 1.83

Values from the calculation:
As for the spin magnetization: 0.859 μB/atom. The value obtained for the calculated volume is 112 Å³ per cell.



What should be chosen as the most stable of them? Choose one.



--- one ---
InCo2Cu2 | PBE-GGA | relaxed

Cell: 3.4262 3.4262 6.6417 Å, 75.05 75.05 90.00°
Closest atoms and distances in Å follow each position.
Atoms (fractional coordinates):
Co  0.7500  0.2500  0.5000  4 Co 2.42, 4 Cu 2.50
Co  0.2500  0.7500  0.5000  4 Co 2.42, 4 Cu 2.50
Cu  0.3969  0.3969  0.2063  4 Co 2.50, 1 Cu 2.55, 4 In 2.74
Cu  0.6031  0.6031  0.7937  4 Co 2.50, 1 Cu 2.55, 4 In 2.74
In  0.0000  0.0000  0.0000  8 Cu 2.74

Values from the calculation:
As for the spin magnetization: 0.683 μB/atom. The value obtained for the calculated volume is 73 Å³ per cell.



--- two ---
InCo2Cu2 | PBE-GGA | relaxed

Cell: 6.9458 6.9458 2.8148 Å, 90.00 90.00 90.00°
Closest atoms and distances in Å follow each position.
Atoms (fractional coordinates):
Co  0.1695  0.6695  0.5000  6 Cu 2.46-2.50
Co  0.6695  0.8305  0.5000  6 Cu 2.46-2.50
Co  0.8305  0.3305  0.5000  6 Cu 2.46-2.50
Co  0.3305  0.1695  0.5000  6 Cu 2.46-2.50
Cu  0.3754  0.8754  0.0000  1 Cu 2.45, 6 Co 2.46-2.50
Cu  0.8754  0.6246  0.0000  1 Cu 2.45, 6 Co 2.46-2.50
Cu  0.6246  0.1246  0.0000  1 Cu 2.45, 6 Co 2.46-2.50
Cu  0.1246  0.3754  0.0000  1 Cu 2.45, 6 Co 2.46-2.50
In  0.0000  0.0000  0.0000  4 Cu 2.75, 2 In 2.81, 8 Co 2.94
In  0.5000  0.5000  0.0000  4 Cu 2.75, 2 In 2.81, 8 Co 2.94

Values from the calculation:
As for the spin magnetization: 0.532 μB/atom. The value obtained for the calculated volume is 136 Å³ per cell.



--- three ---
InCo2Cu2 | PBE-GGA | relaxed

Cell: 3.5386 3.5386 6.2423 Å, 73.53 73.53 90.00°
Closest atoms and distances in Å follow each position.
Atoms (fractional coordinates):
Co  0.4011  0.4011  0.1977  1 Co 2.26, 4 Cu 2.47
Co  0.5989  0.5989  0.8023  1 Co 2.26, 4 Cu 2.47
Cu  0.7500  0.2500  0.5000  4 Co 2.47, 4 Cu 2.50
Cu  0.2500  0.7500  0.5000  4 Co 2.47, 4 Cu 2.50
In  0.0000  0.0000  0.0000  8 Co 2.75

Values from the calculation:
As for the spin magnetization: 0.516 μB/atom. The value obtained for the calculated volume is 72 Å³ per cell.



--- four ---
InCo2Cu2 | PBE-GGA | relaxed

Cell: 6.6921 6.6921 3.1075 Å, 90.00 90.00 90.00°
Closest atoms and distances in Å follow each position.
Atoms (fractional coordinates):
Co  0.3802  0.8802  0.0000  1 Co 2.27, 6 Cu 2.51-2.52
Co  0.8802  0.6198  0.0000  1 Co 2.27, 6 Cu 2.51-2.52
Co  0.6198  0.1198  0.0000  1 Co 2.27, 6 Cu 2.51-2.52
Co  0.1198  0.3802  0.0000  1 Co 2.27, 6 Cu 2.51-2.52
Cu  0.1707  0.6707  0.5000  6 Co 2.51-2.52
Cu  0.6707  0.8293  0.5000  6 Co 2.51-2.52
Cu  0.8293  0.3293  0.5000  6 Co 2.51-2.52
Cu  0.3293  0.1707  0.5000  6 Co 2.51-2.52
In  0.0000  0.0000  0.0000  4 Co 2.67, 8 Cu 2.93
In  0.5000  0.5000  0.0000  4 Co 2.67, 8 Cu 2.93

Values from the calculation:
As for the spin magnetization: 0.548 μB/atom. The value obtained for the calculated volume is 139 Å³ per cell.



What should be chosen as the most stable of them? Choose four.



--- one ---
CoCu2Ir | PBE-GGA | relaxed

Cell: 3.6366 2.6401 5.8381 Å, 63.35 90.00 90.00°
Closest atoms and distances in Å follow each position.
Atoms (fractional coordinates):
Co  0.5000  0.7626  0.7379  4 Ir 2.53, 6 Cu 2.61-2.66, 2 Co 2.64
Cu  0.0000  0.9922  0.0077  6 Cu 2.55-2.64, 2 Ir 2.57-2.65, 4 Co 2.65-2.66
Cu  0.5000  0.2612  0.2383  6 Cu 2.55-2.64, 2 Co 2.61, 4 Ir 2.67-2.68
Ir  0.0000  0.4840  0.5160  4 Co 2.53, 6 Cu 2.57-2.68, 2 Ir 2.64

Values from the calculation:
As for the spin magnetization: 0.481 μB/atom. The value obtained for the calculated volume is 50 Å³ per cell.



--- two ---
CoCu2Ir | PBE-GGA | relaxed

Cell: 2.5924 2.5924 8.6076 Å, 90.00 90.00 116.67°
Closest atoms and distances in Å follow each position.
Atoms (fractional coordinates):
Co  0.5000  0.5000  0.7546  2 Cu 2.50, 2 Ir 2.54, 6 Co 2.59-2.72
Cu  0.0000  0.0000  0.9986  8 Cu 2.49-2.72, 2 Co 2.50
Cu  0.5000  0.5000  0.2414  8 Cu 2.49-2.72, 2 Ir 2.65
Ir  0.0000  0.0000  0.5054  2 Co 2.54, 6 Ir 2.59-2.72, 2 Cu 2.65

Values from the calculation:
As for the spin magnetization: 0.589 μB/atom. The value obtained for the calculated volume is 52 Å³ per cell.



What should be chosen as the most stable of them? Choose one.



--- one ---
CoCu2Ir | PBE-GGA | relaxed

Cell: 2.6231 2.6231 7.3337 Å, 90.00 90.00 90.00°
Closest atoms and distances in Å follow each position.
Atoms (fractional coordinates):
Co  0.5000  0.5000  0.7500  8 Cu 2.55, 4 Co 2.62
Cu  0.0000  0.0000  0.9888  4 Co 2.55, 4 Cu 2.62, 4 Ir 2.67
Cu  0.0000  0.0000  0.5112  4 Co 2.55, 4 Cu 2.62, 4 Ir 2.67
Ir  0.5000  0.5000  0.2500  4 Ir 2.62, 8 Cu 2.67

Values from the calculation:
As for the spin magnetization: 0.562 μB/atom. The value obtained for the calculated volume is 50 Å³ per cell.



--- two ---
CoCu2Ir | PBE-GGA | relaxed

Cell: 2.5818 2.5818 8.7036 Å, 90.00 90.00 117.33°
Closest atoms and distances in Å follow each position.
Atoms (fractional coordinates):
Co  0.5000  0.5000  0.7500  4 Cu 2.48, 6 Co 2.58-2.69
Cu  0.0000  0.0000  0.9901  2 Co 2.48, 6 Cu 2.58-2.69, 2 Ir 2.63
Cu  0.0000  0.0000  0.5099  2 Co 2.48, 6 Cu 2.58-2.69, 2 Ir 2.63
Ir  0.5000  0.5000  0.2500  6 Ir 2.58-2.69, 4 Cu 2.63

Values from the calculation:
As for the spin magnetization: 0.460 μB/atom. The value obtained for the calculated volume is 52 Å³ per cell.



--- three ---
CoCu2Ir | PBE-GGA | relaxed

Cell: 4.1390 4.1390 4.1390 Å, 60.00 60.00 60.00°
Closest atoms and distances in Å follow each position.
Atoms (fractional coordinates):
Ir  0.5000  0.5000  0.5000  8 Cu 2.53
Co  0.0000  0.0000  0.0000  8 Cu 2.53
Cu  0.2500  0.2500  0.2500  4 Co 2.53, 4 Ir 2.53
Cu  0.7500  0.7500  0.7500  4 Ir 2.53, 4 Co 2.53

Values from the calculation:
As for the spin magnetization: 0.612 μB/atom. The value obtained for the calculated volume is 50 Å³ per cell.



What should be chosen as the most stable of them? Choose two.



--- one ---
CoCu2Ir | PBE-GGA | relaxed

Cell: 4.4520 4.4520 4.4520 Å, 130.37 130.37 72.81°
Closest atoms and distances in Å follow each position.
Atoms (fractional coordinates):
Co  0.7500  0.2500  0.5000  8 Cu 2.59-2.64, 4 Ir 2.59
Cu  0.0000  0.0000  0.0000  4 Cu 2.59, 4 Co 2.59, 4 Ir 2.64
Cu  0.2500  0.7500  0.5000  4 Cu 2.59, 4 Ir 2.59, 4 Co 2.64
Ir  0.5000  0.5000  0.0000  4 Co 2.59, 8 Cu 2.59-2.64

Values from the calculation:
As for the spin magnetization: 0.643 μB/atom. The value obtained for the calculated volume is 50 Å³ per cell.



--- two ---
CoCu2Ir | PBE-GGA | relaxed

Cell: 3.8615 3.6066 3.6066 Å, 90.00 90.00 90.00°
Closest atoms and distances in Å follow each position.
Atoms (fractional coordinates):
Co  0.5000  0.0000  0.5000  4 Ir 2.55, 8 Cu 2.64
Cu  0.0000  0.0000  0.0000  4 Cu 2.55, 4 Co 2.64, 4 Ir 2.64
Cu  0.0000  0.5000  0.5000  4 Cu 2.55, 4 Co 2.64, 4 Ir 2.64
Ir  0.5000  0.5000  0.0000  4 Co 2.55, 8 Cu 2.64

Values from the calculation:
As for the spin magnetization: 0.715 μB/atom. The value obtained for the calculated volume is 50 Å³ per cell.



--- three ---
CoCu2Ir | PBE-GGA | relaxed

Cell: 3.4975 3.4975 9.2736 Å, 79.13 79.13 90.00°
Closest atoms and distances in Å follow each position.
Atoms (fractional coordinates):
Ir  0.0000  0.0000  0.0000  4 Co 2.47, 4 Cu 2.56
Ir  0.7500  0.2500  0.5000  4 Co 2.47, 4 Cu 2.56
Co  0.5000  0.5000  0.0000  4 Ir 2.47, 4 Cu 2.55
Co  0.2500  0.7500  0.5000  4 Ir 2.47, 4 Cu 2.55
Cu  0.6217  0.1250  0.2500  4 Cu 2.46-2.49, 2 Co 2.55, 2 Ir 2.56
Cu  0.1283  0.6250  0.2500  4 Cu 2.46-2.49, 2 Co 2.55, 2 Ir 2.56
Cu  0.3750  0.3783  0.7500  4 Cu 2.46-2.49, 2 Co 2.55, 2 Ir 2.56
Cu  0.8750  0.8717  0.7500  4 Cu 2.46-2.49, 2 Co 2.55, 2 Ir 2.56

Values from the calculation:
As for the spin magnetization: 0.631 μB/atom. The value obtained for the calculated volume is 109 Å³ per cell.



--- four ---
CoCu2Ir | PBE-GGA | relaxed

Cell: 4.8781 4.8781 4.8781 Å, 146.14 128.59 62.99°
Closest atoms and distances in Å follow each position.
Atoms (fractional coordinates):
Co  0.2450  0.7450  0.5000  6 Cu 2.49-2.55, 2 Ir 2.53
Cu  0.9993  0.9993  0.0000  2 Cu 2.46, 2 Co 2.49, 4 Ir 2.55
Cu  0.7586  0.2586  0.5000  2 Cu 2.46, 4 Co 2.55, 2 Ir 2.60
Ir  0.4970  0.4970  0.0000  2 Co 2.53, 6 Cu 2.55-2.60

Values from the calculation:
As for the spin magnetization: 0.575 μB/atom. The value obtained for the calculated volume is 50 Å³ per cell.



What should be chosen as the most stable of them? Choose one.



--- one ---
CoCu2Ir | PBE-GGA | relaxed

Cell: 2.7027 4.2867 4.3642 Å, 90.00 90.00 90.00°
Closest atoms and distances in Å follow each position.
Atoms (fractional coordinates):
Co  0.0000  0.5000  0.5000  4 Ir 2.53, 4 Cu 2.57, 2 Co 2.70
Cu  0.0000  0.0000  0.0000  6 Cu 2.53-2.70, 4 Ir 2.57
Cu  0.5000  0.5000  0.0000  6 Cu 2.53-2.70, 4 Co 2.57
Ir  0.5000  0.0000  0.5000  4 Co 2.53, 4 Cu 2.57, 2 Ir 2.70

Values from the calculation:
As for the spin magnetization: 0.518 μB/atom. The value obtained for the calculated volume is 51 Å³ per cell.



--- two ---
CoCu2Ir | PBE-GGA | relaxed

Cell: 4.4934 4.4934 4.4906 Å, 79.64 79.64 34.34°
Closest atoms and distances in Å follow each position.
Atoms (fractional coordinates):
Co  0.2485  0.2485  0.2713  3 Ir 2.51-2.53, 7 Cu 2.60-2.71, 2 Co 2.65
Cu  0.9987  0.9987  0.9832  5 Cu 2.51-2.65, 4 Ir 2.59-2.63, 3 Co 2.65-2.71
Cu  0.7496  0.7496  0.7688  5 Cu 2.51-2.65, 4 Co 2.60-2.62, 3 Ir 2.67-2.69
Ir  0.5031  0.5031  0.4767  3 Co 2.51-2.53, 7 Cu 2.59-2.69, 2 Ir 2.65

Values from the calculation:
As for the spin magnetization: 0.505 μB/atom. The value obtained for the calculated volume is 50 Å³ per cell.



--- three ---
CoCu2Ir | PBE-GGA | relaxed

Cell: 2.6543 2.6543 7.0527 Å, 90.00 90.00 90.00°
Closest atoms and distances in Å follow each position.
Atoms (fractional coordinates):
Co  0.5000  0.5000  0.7523  4 Ir 2.53, 4 Cu 2.54, 4 Co 2.65
Cu  0.0000  0.0000  0.9955  4 Co 2.54, 8 Cu 2.55-2.65
Cu  0.5000  0.5000  0.2401  8 Cu 2.55-2.65, 4 Ir 2.68
Ir  0.0000  0.0000  0.5121  4 Co 2.53, 4 Ir 2.65, 4 Cu 2.68

Values from the calculation:
As for the spin magnetization: 0.280 μB/atom. The value obtained for the calculated volume is 50 Å³ per cell.



What should be chosen as the most stable of them? Choose three.



--- one ---
CoCuIr | PBE-GGA | relaxed

Cell: 6.8883 6.6565 2.6113 Å, 83.92 73.93 22.15°
Closest atoms and distances in Å follow each position.
Atoms (fractional coordinates):
Co  0.9988  0.9988  0.0012  2 Cu 2.50, 2 Ir 2.54, 6 Co 2.61-2.71
Cu  0.3380  0.3380  0.6620  2 Co 2.50, 6 Cu 2.61-2.71, 2 Ir 2.65
Ir  0.6633  0.6633  0.3367  2 Co 2.54, 6 Ir 2.61-2.71, 2 Cu 2.65

Values from the calculation:
As for the spin magnetization: 0.805 μB/atom. The value obtained for the calculated volume is 39 Å³ per cell.



--- two ---
CoCuIr | PBE-GGA | relaxed

Cell: 5.6421 5.6421 5.6421 Å, 152.60 152.60 39.13°
Closest atoms and distances in Å follow each position.
Atoms (fractional coordinates):
Co  0.0006  0.0006  0.0000  4 Ir 2.54, 4 Cu 2.56, 4 Co 2.67
Cu  0.3388  0.3388  0.0000  4 Co 2.56, 4 Cu 2.67, 4 Ir 2.68
Ir  0.6607  0.6607  0.0000  4 Co 2.54, 4 Ir 2.67, 4 Cu 2.68

Values from the calculation:
As for the spin magnetization: 0.601 μB/atom. The value obtained for the calculated volume is 38 Å³ per cell.



What should be chosen as the most stable of them? Choose two.